{"formula": "BeTl2Zn", "functional": "GGA-PBEsol", "state": "optimized geometry", "ef_ev_per_atom": 0.32, "m_tot_mub_per_fu": 0.00, "e_above_lowest_polymorph_mev_per_atom": 0, "lattice": [[3.071, 0.000, 0.000], [0.000, 3.071, 0.000], [0.000, 0.000, 8.626]], "species": ["Be", "Zn", "Tl", "Tl"], "fractional_positions": [[0.500, 0.500, 0.688], [0.000, 0.000, 0.574], [0.500, 0.500, 0.298], [0.000, 0.000, 0.940]]}